Entry 1:
ErPaTlTc | PBE | relaxed

```
data_ErPaTlTc
_cell_length_a 5.089
_cell_length_b 5.089
_cell_length_c 5.089
_cell_angle_alpha 60.00
_cell_angle_beta 60.00
_cell_angle_gamma 60.00
_space_group_name_H-M_alt 'P 1'
_space_group_IT_number 1
loop_
_space_group_symop_operation_xyz
'x,y,z'
loop_
_atom_site_label
_atom_site_type_symbol
_atom_site_fract_x
_atom_site_fract_y
_atom_site_fract_z
Er1 Er 0.750 0.750 0.750
Tc1 Tc 0.500 0.500 0.500
Pa1 Pa 0.250 0.250 0.250
Tl1 Tl 0.000 0.000 0.000
```

Results
The calculation puts the electronic total energy at -6.58 eV/atom. As for the crystal system: cubic. The space group is F-43m, No. 216. The volume is 23.30 Å³/atom. The calculation puts the polymorph energy (0 for the lowest one) at 0.338 eV per atom. The value obtained for the total magnetization is 0.0 μB/cell. The formation energy from the elements comes out at 116 meV per atom.

***

Entry 2:
ErPaTlTc | PBE | relaxed

```
data_ErPaTlTc
_cell_length_a 3.353
_cell_length_b 3.353
_cell_length_c 8.403
_cell_angle_alpha 90.00
_cell_angle_beta 90.00
_cell_angle_gamma 90.00
_space_group_name_H-M_alt 'P 1'
_space_group_IT_number 1
loop_
_space_group_symop_operation_xyz
'x,y,z'
loop_
_atom_site_label
_atom_site_type_symbol
_atom_site_fract_x
_atom_site_fract_y
_atom_site_fract_z
Er1 Er 0.500 0.500 0.780
Tc1 Tc 0.000 0.000 0.565
Tl1 Tl 0.000 0.000 0.068
Pa1 Pa 0.500 0.500 0.372
```

Results
The calculation puts the electronic total energy at -6.92 eV/atom. As for the crystal system: tetragonal. The space group is P4mm, No. 99. The volume is 23.62 Å³/atom. The calculation puts the polymorph energy (0 for the lowest one) at 0.000 eV per atom. The value obtained for the total magnetization is 0.0 μB/cell. The formation energy from the elements comes out at -221 meV per atom.